Below is a relaxed structure of MnAlFe2, with properties calculated at the GGA-PBE level.

Computed properties:
Crystal system = orthorhombic
Calculated formation energy = -0.060 eV per atom
Symmetry = No. 25

Lattice parameters (Å, degrees): 2.555 3.686 5.022 90.00 90.00 90.00
Fractional coordinates of all 4 atoms:
Mn 0.000 0.000 0.486
Fe 0.000 0.000 0.998
Fe 0.500 0.500 0.259
Al 0.500 0.500 0.758

Below is a relaxed structure of MnAlFe2, with properties calculated at the GGA-PBE level.

Computed properties:
Crystal system = tetragonal
Calculated formation energy = -0.070 eV per atom
Symmetry = No. 99

Lattice parameters (Å, degrees): 2.581 2.581 7.022 90.00 90.00 89.97
Fractional coordinates of all 4 atoms:
Mn 0.000 0.000 0.488
Fe 0.000 0.000 0.010
Fe 0.500 0.500 0.252
Al 0.500 0.500 0.750

Below is a relaxed structure of MnAlFe2, with properties calculated at the GGA-PBE level.

Computed properties:
Crystal system = trigonal
Calculated formation energy = 0.031 eV per atom
Symmetry = No. 166

Lattice parameters (Å, degrees): 8.264 8.264 8.264 17.83 17.83 17.83
Fractional coordinates of all 4 atoms:
Mn 0.250 0.250 0.250
Fe 0.998 0.998 0.998
Fe 0.502 0.502 0.502
Al 0.750 0.750 0.750

Below is a relaxed structure of MnAlFe2, with properties calculated at the GGA-PBE level.

Computed properties:
Crystal system = tetragonal
Calculated formation energy = 0.405 eV per atom
Symmetry = No. 122

Lattice parameters (Å, degrees): 6.622 6.622 5.308 51.41 51.41 90.00
Fractional coordinates of all 8 atoms:
Mn 0.000 0.000 0.000
Mn 0.750 0.250 0.500
Fe 0.624 0.125 0.250
Fe 0.126 0.625 0.250
Fe 0.375 0.376 0.750
Fe 0.875 0.874 0.750
Al 0.500 0.500 0.000
Al 0.250 0.750 0.500

Below is a relaxed structure of MnAlFe2, with properties calculated at the GGA-PBE level.

Computed properties:
Crystal system = tetragonal
Calculated formation energy = -0.116 eV per atom
Symmetry = No. 99

Lattice parameters (Å, degrees): 2.852 2.852 5.783 90.00 90.00 90.00
Fractional coordinates of all 4 atoms:
Mn 0.000 0.000 0.486
Fe 0.000 0.000 0.011
Fe 0.500 0.500 0.245
Al 0.500 0.500 0.758

Below is a relaxed structure of Mn3AlFe7, with properties calculated at the GGA-PBE level.

Computed properties:
Crystal system = orthorhombic
Calculated formation energy = 0.237 eV per atom
Symmetry = No. 63

Lattice parameters (Å, degrees): 2.489 9.779 11.083 90.00 90.00 97.31
Fractional coordinates of all 22 atoms:
Mn 0.149 0.299 0.439
Mn 0.851 0.701 0.561
Mn 0.270 0.540 0.750
Mn 0.730 0.460 0.250
Mn 0.149 0.299 0.061
Mn 0.851 0.701 0.939
Al 0.996 0.992 0.250
Al 0.004 0.008 0.750
Fe 0.384 0.768 0.750
Fe 0.616 0.232 0.250
Fe 0.541 0.081 0.428
Fe 0.459 0.919 0.572
Fe 0.459 0.919 0.928
Fe 0.541 0.081 0.072
Fe 0.402 0.804 0.370
Fe 0.598 0.196 0.630
Fe 0.277 0.554 0.416
Fe 0.723 0.446 0.584
Fe 0.723 0.446 0.916
Fe 0.277 0.554 0.084
Fe 0.402 0.804 0.130
Fe 0.598 0.196 0.870

Below is a relaxed structure of MnAl4Fe5, with properties calculated at the GGA-PBE level.

Computed properties:
Crystal system = tetragonal
Calculated formation energy = -0.244 eV per atom
Symmetry = No. 123

Lattice parameters (Å, degrees): 2.852 2.852 14.349 90.00 90.00 90.00
Fractional coordinates of all 10 atoms:
Mn 0.000 0.000 0.000
Al 0.000 0.000 0.198
Al 0.000 0.000 0.398
Al 0.000 0.000 0.602
Al 0.000 0.000 0.802
Fe 0.500 0.500 0.094
Fe 0.500 0.500 0.297
Fe 0.500 0.500 0.500
Fe 0.500 0.500 0.703
Fe 0.500 0.500 0.906

Below is a relaxed structure of MnAl5Fe6, with properties calculated at the GGA-PBE level.

Computed properties:
Crystal system = orthorhombic
Calculated formation energy = -0.274 eV per atom
Symmetry = No. 65

Lattice parameters (Å, degrees): 4.045 5.710 6.391 90.00 71.53 90.00
Fractional coordinates of all 12 atoms:
Mn 0.000 0.000 0.000
Al 0.666 0.500 0.669
Al 0.335 0.000 0.329
Al 0.000 0.500 0.000
Al 0.665 0.000 0.671
Al 0.334 0.500 0.331
Fe 0.834 0.752 0.332
Fe 0.834 0.248 0.332
Fe 0.500 0.247 0.000
Fe 0.500 0.753 0.000
Fe 0.166 0.752 0.668
Fe 0.166 0.248 0.668

- Which of these has the highest calculated formation energy?
  number 4

- Which value of calculated formation energy does entry 1 give?
  -0.060 eV per atom

- What is the calculated formation energy in the sixth record?
  0.237 eV per atom

- What is the formula in the third record?
  MnAlFe2